1.
The following is a DFT calculation (PBE) of HfAuSO2 after structural relaxation.

## Properties
Its formation energy (no corrections) is -1463 meV/atom. As for the space group: No. 123.

a b c (Å): 3.956 3.956 5.567
angles (deg): 90.00 90.00 90.00
Fractional positions:
Hf1 0.000 0.000 0.000
Au1 0.500 0.500 0.500
S1 0.000 0.000 0.500
O1 0.000 0.500 0.000
O2 0.500 0.000 0.000

2.
The following is a DFT calculation (PBE) of YMoC2 after structural relaxation.

## Properties
As for the energy above the most stable polymorph in this dataset: 130.2 meV per atom. The calculation puts the calculated formation energy at -0.4 eV per formula unit. As for the space group: No. 166.

a b c (Å): 5.866 5.866 5.866
angles (deg): 32.05 32.05 32.05
Fractional positions:
Y1 0.000 0.000 0.000
Mo1 0.500 0.500 0.500
C1 0.238 0.238 0.238
C2 0.762 0.762 0.762

Taking the records one at a time from the top gives electronic total energy values of -6.918 -9.047 eV/atom.
Taking the records one at a time from the top gives total moment values of 0.00 0.00 Bohr magnetons per cell.
Taking the records one at a time from the top gives density of states at the Fermi level values of 2.15 1.77 states/eV/f.u..